Record 1
K2HfTe: PBEsol geometry, meta-GGA SCAN.

Results
Energy   -28.866 eV per atom
Formation energy without anion corrections   0.28 eV per atom
Total magnetization   8.0 μB per cell

Cell: 11.6476 11.6476 5.4927 Å, 90.00 90.00 90.00°
Space group I-42d (No. 122)
Unique sites:
K 0.1328 0.7500 0.1250 [8 per cell]
Hf 0.0000 0.0000 0.5000 [4 per cell]
Te 0.0000 0.0000 0.0000 [4 per cell]

Record 2
KHfTl2: PBEsol geometry, meta-GGA SCAN.

Results
Energy   -53.618 eV per atom
Total magnetization   0.0 μB per cell
Energy of formation   1.2 eV per formula unit

Cell: 7.4633 7.4633 7.4633 Å, 90.00 90.00 90.00°
Space group Fm-3m (No. 225)
Unique sites:
K 0.0000 0.0000 0.0000 [4 per cell]
Hf 0.0000 0.0000 0.5000 [4 per cell]
Tl 0.2500 0.2500 0.2500 [8 per cell]

Record 3
KY2Hf: PBEsol geometry, meta-GGA SCAN.

Results
Energy   -30.876 eV per atom
Total magnetization   8.6 μB per cell
Energy of formation   3.2 eV per formula unit

Cell: 7.8347 7.8347 7.8347 Å, 90.00 90.00 90.00°
Space group Fm-3m (No. 225)
Unique sites:
K 0.0000 0.0000 0.0000 [4 per cell]
Y 0.2500 0.2500 0.2500 [8 per cell]
Hf 0.0000 0.0000 0.5000 [4 per cell]

Repeat the second record exactly.
KHfTl2: PBEsol geometry, meta-GGA SCAN.

Results
Energy   -53.618 eV per atom
Total magnetization   0.0 μB per cell
Energy of formation   1.2 eV per formula unit

Cell: 7.4633 7.4633 7.4633 Å, 90.00 90.00 90.00°
Space group Fm-3m (No. 225)
Unique sites:
K 0.0000 0.0000 0.0000 [4 per cell]
Hf 0.0000 0.0000 0.5000 [4 per cell]
Tl 0.2500 0.2500 0.2500 [8 per cell]

Q: What is the total magnetization in the first record?
A: 8.0 μB per cell

Q: energy of number 2 (KHfTl2)?
A: -53.618 eV per atom

Q: Among the records above, which one has the lowest energy?
A: KHfTl2